# 1
Entry from Alexandria: a geometry-optimized NdCd11 structure (PBEsol).

a b c (Å): 9.209 9.209 9.209
angles (deg): 90.00 90.00 90.00
Fractional positions:
1 Nd 0.000 0.000 0.500
2 Nd 0.000 0.500 0.000
3 Nd 0.500 0.000 0.000
4 Cd 0.000 0.345 0.345
5 Cd 0.000 0.345 0.655
6 Cd 0.000 0.655 0.345
7 Cd 0.000 0.655 0.655
8 Cd 0.157 0.157 0.157
9 Cd 0.157 0.157 0.843
10 Cd 0.157 0.843 0.157
11 Cd 0.157 0.843 0.843
12 Cd 0.266 0.266 0.500
13 Cd 0.266 0.500 0.266
14 Cd 0.266 0.500 0.734
15 Cd 0.266 0.734 0.500
16 Cd 0.345 0.000 0.345
17 Cd 0.345 0.000 0.655
18 Cd 0.345 0.345 0.000
19 Cd 0.345 0.655 0.000
20 Cd 0.500 0.266 0.266
21 Cd 0.500 0.266 0.734
22 Cd 0.500 0.500 0.500
23 Cd 0.500 0.734 0.266
24 Cd 0.500 0.734 0.734
25 Cd 0.655 0.000 0.345
26 Cd 0.655 0.000 0.655
27 Cd 0.655 0.345 0.000
28 Cd 0.655 0.655 0.000
29 Cd 0.734 0.266 0.500
30 Cd 0.734 0.500 0.266
31 Cd 0.734 0.500 0.734
32 Cd 0.734 0.734 0.500
33 Cd 0.843 0.157 0.157
34 Cd 0.843 0.157 0.843
35 Cd 0.843 0.843 0.157
36 Cd 0.843 0.843 0.843

Summary:
Symmetry: No. 221
Formation energy from the elements, eV/f.u.: -2.1
Magnetic moment, μB/atom: 0.00

# 2
Entry from Alexandria: a geometry-optimized NdCd20Ni2 structure (PBEsol).

a b c (Å): 10.899 10.899 10.899
angles (deg): 60.00 60.00 60.00
Fractional positions:
1 Nd 0.125 0.125 0.125
2 Nd 0.875 0.875 0.875
3 Cd 0.000 0.000 0.000
4 Cd 0.000 0.000 0.500
5 Cd 0.000 0.500 0.000
6 Cd 0.056 0.325 0.325
7 Cd 0.056 0.325 0.795
8 Cd 0.056 0.795 0.325
9 Cd 0.205 0.675 0.675
10 Cd 0.205 0.675 0.944
11 Cd 0.205 0.944 0.675
12 Cd 0.239 0.239 0.511
13 Cd 0.239 0.511 0.239
14 Cd 0.239 0.511 0.511
15 Cd 0.325 0.056 0.325
16 Cd 0.325 0.056 0.795
17 Cd 0.325 0.325 0.056
18 Cd 0.325 0.325 0.795
19 Cd 0.325 0.795 0.056
20 Cd 0.325 0.795 0.325
21 Cd 0.489 0.489 0.761
22 Cd 0.489 0.761 0.489
23 Cd 0.489 0.761 0.761
24 Cd 0.500 0.000 0.000
25 Cd 0.511 0.239 0.239
26 Cd 0.511 0.239 0.511
27 Cd 0.511 0.511 0.239
28 Cd 0.675 0.205 0.675
29 Cd 0.675 0.205 0.944
30 Cd 0.675 0.675 0.205
31 Cd 0.675 0.675 0.944
32 Cd 0.675 0.944 0.205
33 Cd 0.675 0.944 0.675
34 Cd 0.761 0.489 0.489
35 Cd 0.761 0.489 0.761
36 Cd 0.761 0.761 0.489
37 Cd 0.795 0.056 0.325
38 Cd 0.795 0.325 0.056
39 Cd 0.795 0.325 0.325
40 Cd 0.944 0.205 0.675
41 Cd 0.944 0.675 0.205
42 Cd 0.944 0.675 0.675
43 Ni 0.000 0.500 0.500
44 Ni 0.500 0.000 0.500
45 Ni 0.500 0.500 0.000
46 Ni 0.500 0.500 0.500

Summary:
Symmetry: No. 227
Formation energy from the elements, eV/f.u.: -2.7
Magnetic moment, μB/atom: 0.00

# 3
Entry from Alexandria: a geometry-optimized NdCdNi4 structure (PBEsol).

a b c (Å): 4.956 4.956 4.956
angles (deg): 60.00 60.00 60.00
Fractional positions:
1 Nd 0.000 0.000 0.000
2 Cd 0.750 0.750 0.750
3 Ni 0.376 0.376 0.376
4 Ni 0.376 0.376 0.871
5 Ni 0.376 0.871 0.376
6 Ni 0.871 0.376 0.376

Summary:
Symmetry: No. 216
Formation energy from the elements, eV/f.u.: -1.8
Magnetic moment, μB/atom: 0.00

# 4
Entry from Alexandria: a geometry-optimized NdTiCdSbO7 structure (PBEsol).

a b c (Å): 7.277 7.277 10.349
angles (deg): 90.00 90.00 90.00
Fractional positions:
1 Nd 0.000 0.262 0.000
2 Nd 0.000 0.738 0.500
3 Nd 0.262 0.000 0.750
4 Nd 0.738 0.000 0.250
5 Ti 0.000 0.239 0.500
6 Ti 0.000 0.761 0.000
7 Ti 0.239 0.000 0.250
8 Ti 0.761 0.000 0.750
9 Cd 0.264 0.500 0.750
10 Cd 0.500 0.264 0.000
11 Cd 0.500 0.736 0.500
12 Cd 0.736 0.500 0.250
13 Sb 0.244 0.500 0.250
14 Sb 0.500 0.244 0.500
15 Sb 0.500 0.756 0.000
16 Sb 0.756 0.500 0.750
17 O 0.045 0.045 0.375
18 O 0.045 0.955 0.125
19 O 0.053 0.445 0.381
20 O 0.053 0.555 0.119
21 O 0.236 0.249 0.178
22 O 0.236 0.751 0.322
23 O 0.249 0.236 0.572
24 O 0.249 0.764 0.928
25 O 0.262 0.262 0.875
26 O 0.262 0.738 0.625
27 O 0.445 0.053 0.369
28 O 0.445 0.947 0.131
29 O 0.449 0.449 0.375
30 O 0.449 0.551 0.125
31 O 0.551 0.449 0.625
32 O 0.551 0.551 0.875
33 O 0.555 0.053 0.631
34 O 0.555 0.947 0.869
35 O 0.738 0.262 0.125
36 O 0.738 0.738 0.375
37 O 0.751 0.236 0.428
38 O 0.751 0.764 0.072
39 O 0.764 0.249 0.822
40 O 0.764 0.751 0.678
41 O 0.947 0.445 0.619
42 O 0.947 0.555 0.881
43 O 0.955 0.045 0.625
44 O 0.955 0.955 0.875

Summary:
ΔE_f (raw), eV/f.u.: -26.015
Symmetry: No. 91
Magnetic moment, μB/atom: 0.00

# 5
Entry from Alexandria: a geometry-optimized NdTiCdSbO7 structure (PBEsol).

a b c (Å): 7.274 7.274 7.274
angles (deg): 120.71 118.47 90.72
Fractional positions:
1 Nd 0.000 0.000 0.000
2 Nd 0.500 0.000 0.500
3 Ti 0.500 0.000 0.000
4 Ti 0.500 0.500 0.500
5 Cd 0.000 0.000 0.500
6 Cd 0.000 0.500 0.000
7 Sb 0.000 0.500 0.500
8 Sb 0.500 0.500 0.000
9 O 0.117 0.867 0.250
10 O 0.171 0.421 0.750
11 O 0.181 0.420 0.355
12 O 0.181 0.826 0.761
13 O 0.426 0.176 0.250
14 O 0.435 0.174 0.855
15 O 0.435 0.580 0.261
16 O 0.565 0.420 0.739
17 O 0.565 0.826 0.145
18 O 0.574 0.824 0.750
19 O 0.819 0.174 0.239
20 O 0.819 0.580 0.645
21 O 0.829 0.579 0.250
22 O 0.883 0.133 0.750

Summary:
ΔE_f (raw), eV/f.u.: -26.010
Symmetry: No. 74
Magnetic moment, μB/atom: 0.00

# 6
Entry from Alexandria: a geometry-optimized NdCd2Pd structure (PBEsol).

a b c (Å): 5.413 5.413 8.230
angles (deg): 90.00 90.00 133.93
Fractional positions:
1 Nd 0.066 0.934 0.750
2 Nd 0.934 0.066 0.250
3 Cd 0.357 0.643 0.549
4 Cd 0.357 0.643 0.951
5 Cd 0.643 0.357 0.049
6 Cd 0.643 0.357 0.451
7 Pd 0.222 0.778 0.250
8 Pd 0.778 0.222 0.750

Summary:
Symmetry: No. 63
Formation energy from the elements, eV/f.u.: -2.3
Magnetic moment, μB/atom: 0.00